Model w:
Here is MnNiPd2Se after structural relaxation from Alexandria via LeMat-Bulk. Energies are from PBE.

Unit cell a=4.655 b=4.655 c=4.537 alpha=90.00 beta=90.00 gamma=90.00
Element x y z (fractional)
Mn 0.000 0.000 0.000
Ni 0.500 0.500 0.000
Pd 0.000 0.500 0.500
Pd 0.500 0.000 0.500
Se 0.000 0.000 0.500

**Space-group type**: No. 123

---

Model x:
Here is MnNiPd2Se after structural relaxation from Alexandria via LeMat-Bulk. Energies are from PBE.

Unit cell a=4.606 b=4.606 c=4.491 alpha=90.00 beta=90.00 gamma=90.00
Element x y z (fractional)
Mn 0.000 0.000 0.000
Ni 0.000 0.000 0.500
Pd 0.000 0.500 0.500
Pd 0.500 0.000 0.500
Se 0.500 0.500 0.000

**Space-group type**: No. 123

---

Top of the stability list: model w, leading by 67 meV per atom.

---

Model w:
Here is PmMnNi after structural relaxation from Alexandria via LeMat-Bulk. Energies are from PBE.

Unit cell a=5.251 b=5.251 c=5.251 alpha=118.51 beta=117.89 gamma=93.15
Element x y z (fractional)
Pm 0.369 0.119 0.250
Pm 0.631 0.881 0.750
Mn 0.000 0.500 0.500
Mn 0.500 0.500 0.000
Ni 0.000 0.000 0.500
Ni 0.000 0.500 0.000

**Space-group type**: No. 74

---

Model x:
Here is PmMnNi after structural relaxation from Alexandria via LeMat-Bulk. Energies are from PBE.

Unit cell a=4.012 b=4.012 c=4.180 alpha=90.00 beta=90.00 gamma=120.00
Element x y z (fractional)
Pm 0.000 0.000 0.000
Mn 0.333 0.667 0.500
Ni 0.667 0.333 0.500

**Space-group type**: No. 187

---

Top of the stability list: model w, leading by 42 meV per atom.

---

Model w:
Here is MnNi3Pt after structural relaxation from Alexandria via LeMat-Bulk. Energies are from PBE.

Unit cell a=6.621 b=6.621 c=5.150 alpha=90.00 beta=90.00 gamma=146.05
Element x y z (fractional)
Mn 0.207 0.793 0.750
Mn 0.793 0.207 0.250
Ni 0.191 0.809 0.250
Ni 0.390 0.610 0.000
Ni 0.390 0.610 0.500
Ni 0.610 0.390 0.000
Ni 0.610 0.390 0.500
Ni 0.809 0.191 0.750
Pt 0.008 0.992 0.750
Pt 0.992 0.008 0.250

**Space-group type**: No. 63

---

Model x:
Here is MnNi3Pt after structural relaxation from Alexandria via LeMat-Bulk. Energies are from PBE.

Unit cell a=4.579 b=4.579 c=4.579 alpha=90.00 beta=90.00 gamma=90.00
Element x y z (fractional)
Mn 0.000 0.000 0.000
Ni 0.000 0.500 0.500
Ni 0.500 0.000 0.500
Ni 0.500 0.500 0.000
Pt 0.500 0.500 0.500

**Space-group type**: No. 221

---

Top of the stability list: model w, leading by 1170 meV per atom.

---

Model w:
Here is MnNi2Pt2 after structural relaxation from Alexandria via LeMat-Bulk. Energies are from PBE.

Unit cell a=4.153 b=4.153 c=9.782 alpha=90.00 beta=90.00 gamma=120.00
Element x y z (fractional)
Mn 0.000 0.000 0.250
Mn 0.000 0.000 0.750
Ni 0.333 0.667 0.115
Ni 0.333 0.667 0.385
Ni 0.667 0.333 0.615
Ni 0.667 0.333 0.885
Pt 0.000 0.000 0.000
Pt 0.000 0.000 0.500
Pt 0.333 0.667 0.750
Pt 0.667 0.333 0.250

**Space-group type**: No. 194

---

Model x:
Here is MnNi2Pt2 after structural relaxation from Alexandria via LeMat-Bulk. Energies are from PBE.

Unit cell a=6.917 b=6.917 c=6.917 alpha=151.87 beta=151.87 gamma=40.21
Element x y z (fractional)
Mn 0.000 0.000 0.000
Ni 0.250 0.750 0.500
Ni 0.750 0.250 0.500
Pt 0.397 0.397 0.000
Pt 0.603 0.603 0.000

**Space-group type**: No. 139

---

Model y:
Here is MnNi2Pt2 after structural relaxation from Alexandria via LeMat-Bulk. Energies are from PBE.

Unit cell a=6.814 b=6.814 c=2.895 alpha=90.00 beta=90.00 gamma=90.00
Element x y z (fractional)
Mn 0.000 0.000 0.000
Mn 0.500 0.500 0.000
Ni 0.126 0.374 0.000
Ni 0.374 0.874 0.000
Ni 0.626 0.126 0.000
Ni 0.874 0.626 0.000
Pt 0.173 0.673 0.500
Pt 0.327 0.173 0.500
Pt 0.673 0.827 0.500
Pt 0.827 0.327 0.500

**Space-group type**: No. 127

---

Top of the stability list: model x, leading by 146 meV per atom.

---

Model w:
Here is MnNiPt4 after structural relaxation from Alexandria via LeMat-Bulk. Energies are from PBE.

Unit cell a=8.756 b=2.733 c=7.501 alpha=90.00 beta=90.00 gamma=90.00
Element x y z (fractional)
Mn 0.250 0.000 0.191
Mn 0.750 0.000 0.809
Ni 0.250 0.000 0.528
Ni 0.750 0.000 0.472
Pt 0.000 0.000 0.000
Pt 0.020 0.500 0.329
Pt 0.250 0.500 0.856
Pt 0.480 0.500 0.329
Pt 0.500 0.000 0.000
Pt 0.520 0.500 0.671
Pt 0.750 0.500 0.144
Pt 0.980 0.500 0.671

**Space-group type**: No. 51

---

Model x:
Here is MnNiPt4 after structural relaxation from Alexandria via LeMat-Bulk. Energies are from PBE.

Unit cell a=3.860 b=3.860 c=6.744 alpha=90.00 beta=90.00 gamma=90.00
Element x y z (fractional)
Mn 0.000 0.000 0.000
Ni 0.500 0.500 0.500
Pt 0.000 0.500 0.256
Pt 0.000 0.500 0.744
Pt 0.500 0.000 0.256
Pt 0.500 0.000 0.744

**Space-group type**: No. 123

---

Top of the stability list: model w, leading by 147 meV per atom.

---

Model w:
Here is MnNiPt5 after structural relaxation from Alexandria via LeMat-Bulk. Energies are from PBE.

Unit cell a=6.017 b=6.017 c=6.017 alpha=109.22 beta=108.63 gamma=110.58
Element x y z (fractional)
Mn 0.000 0.000 0.000
Ni 0.029 0.529 0.500
Pt 0.150 0.837 0.313
Pt 0.308 0.126 0.817
Pt 0.308 0.491 0.183
Pt 0.524 0.837 0.687
Pt 0.640 0.640 0.000

**Space-group type**: No. 44

---

Model x:
Here is MnNiPt5 after structural relaxation from Alexandria via LeMat-Bulk. Energies are from PBE.

Unit cell a=4.644 b=4.644 c=5.472 alpha=90.00 beta=90.00 gamma=107.38
Element x y z (fractional)
Mn 0.000 0.000 0.000
Ni 0.500 0.500 0.500
Pt 0.000 0.500 0.261
Pt 0.000 0.500 0.739
Pt 0.500 0.000 0.261
Pt 0.500 0.000 0.739
Pt 0.500 0.500 0.000

**Space-group type**: No. 65

---

Top of the stability list: model x, leading by 967 meV per atom.

---

Model w:
Here is Mn2NiPt2 after structural relaxation from Alexandria via LeMat-Bulk. Energies are from PBE.

Unit cell a=7.296 b=7.296 c=2.883 alpha=90.00 beta=90.00 gamma=90.00
Element x y z (fractional)
Mn 0.162 0.338 0.000
Mn 0.338 0.838 0.000
Mn 0.662 0.162 0.000
Mn 0.838 0.662 0.000
Ni 0.000 0.000 0.500
Ni 0.500 0.500 0.500
Pt 0.138 0.638 0.500
Pt 0.362 0.138 0.500
Pt 0.638 0.862 0.500
Pt 0.862 0.362 0.500

**Space-group type**: No. 127

---

Model x:
Here is Mn2NiPt2 after structural relaxation from Alexandria via LeMat-Bulk. Energies are from PBE.

Unit cell a=4.697 b=4.697 c=5.967 alpha=128.66 beta=128.66 gamma=47.38
Element x y z (fractional)
Mn 0.087 0.087 0.297
Mn 0.913 0.913 0.703
Ni 0.500 0.500 0.500
Pt 0.296 0.296 0.883
Pt 0.704 0.704 0.117

**Space-group type**: No. 12

---

Top of the stability list: model x, leading by 208 meV per atom.

---

Model w:
Here is Mn3NiPt after structural relaxation from Alexandria via LeMat-Bulk. Energies are from PBE.

Unit cell a=4.819 b=4.819 c=4.819 alpha=90.00 beta=90.00 gamma=90.00
Element x y z (fractional)
Mn 0.000 0.000 0.500
Mn 0.000 0.500 0.000
Mn 0.500 0.000 0.000
Ni 0.500 0.500 0.500
Pt 0.000 0.000 0.000

**Space-group type**: No. 221

---

Model x:
Here is Mn3NiPt after structural relaxation from Alexandria via LeMat-Bulk. Energies are from PBE.

Unit cell a=4.150 b=4.150 c=4.150 alpha=90.00 beta=90.00 gamma=90.00
Element x y z (fractional)
Mn 0.000 0.000 0.500
Mn 0.000 0.500 0.000
Mn 0.500 0.000 0.000
Ni 0.000 0.000 0.000
Pt 0.500 0.500 0.500

**Space-group type**: No. 221

---

Top of the stability list: model w, leading by 254 meV per atom.